1.
The following is a DFT calculation (SCAN) of BaAlRu2 at its PBEsol-relaxed geometry.

a b c (Å): 2.962 5.058 5.930
angles (deg): 115.24 104.46 90.00
Positions (direct):
Al (0.460, 0.460, 0.920)
Ru (0.040, 0.040, 0.080)
Ru (0.742, 0.242, 0.484)
Ba (0.258, 0.758, 0.516)

Values from the calculation:
E_tot in eV/atom: -28.65
ΔH_f (0 K) in meV per atom: 589

2.
The following is a DFT calculation (SCAN) of OsBr2Cl at its PBEsol-relaxed geometry.

a b c (Å): 3.006 3.252 9.627
angles (deg): 90.00 90.00 117.52
Positions (direct):
Br (0.000, 0.000, 0.206)
Br (0.000, 0.000, 0.794)
Os (0.500, 0.000, 0.000)
Cl (0.500, 0.000, 0.500)

Values from the calculation:
E_tot in eV/atom: -28.98
Formation energy without anion corrections in meV/atom: 711
ΔE to the lowest computed polymorph in meV per atom: 714.8

3.
The following is a DFT calculation (SCAN) of CsNaP2 at its PBEsol-relaxed geometry.

a b c (Å): 4.842 4.842 10.452
angles (deg): 103.39 103.39 90.00
Positions (direct):
P (0.625, 0.875, 0.250)
P (0.125, 0.375, 0.750)
P (0.625, 0.375, 0.250)
P (0.625, 0.375, 0.750)
Na (0.500, 0.500, 0.000)
Na (0.750, 0.250, 0.500)
Cs (0.250, 0.750, 0.500)
Cs (0.000, 0.000, 0.000)

Values from the calculation:
E_tot in eV/atom: -15.79
ΔH_f (0 K) in meV per atom: -79

4.
The following is a DFT calculation (SCAN) of Ag4Au3 at its PBEsol-relaxed geometry.

a b c (Å): 3.400 3.400 10.476
angles (deg): 99.34 99.34 90.00
Positions (direct):
Ag (0.857, 0.857, 0.714)
Ag (0.571, 0.571, 0.143)
Ag (0.143, 0.143, 0.286)
Ag (0.429, 0.429, 0.857)
Au (0.000, 0.000, 0.000)
Au (0.286, 0.286, 0.572)
Au (0.714, 0.714, 0.428)

Values from the calculation:
E_tot in eV/atom: -47.60
ΔH_f (0 K) in meV per atom: -36

5.
The following is a DFT calculation (SCAN) of SrBi2Pt2 at its PBEsol-relaxed geometry.

a b c (Å): 4.919 4.919 6.269
angles (deg): 113.10 113.10 90.00
Positions (direct):
Pt (0.625, 0.625, 0.250)
Pt (0.375, 0.375, 0.750)
Bi (0.250, 0.750, 0.500)
Bi (0.750, 0.250, 0.500)
Sr (0.000, 0.000, 0.000)

Values from the calculation:
E_tot in eV/atom: -64.55
ΔH_f (0 K) in meV per atom: -588

6.
The following is a DFT calculation (SCAN) of Al2GeBiSe at its PBEsol-relaxed geometry.

a b c (Å): 4.860 4.860 5.115
angles (deg): 90.00 90.00 90.00
Positions (direct):
Ge (0.000, 0.000, 0.000)
Bi (0.500, 0.500, 0.500)
Se (0.000, 0.000, 0.500)
Al (0.000, 0.500, 0.000)
Al (0.500, 0.000, 0.000)

Values from the calculation:
E_tot in eV/atom: -26.23
Formation energy without anion corrections in meV/atom: 419

7.
The following is a DFT calculation (SCAN) of GaCo3Ge at its PBEsol-relaxed geometry.

a b c (Å): 4.243 4.243 4.243
angles (deg): 90.00 90.00 90.00
Positions (direct):
Co (0.000, 0.500, 0.000)
Co (0.000, 0.000, 0.500)
Co (0.500, 0.000, 0.000)
Ga (0.000, 0.000, 0.000)
Ge (0.500, 0.500, 0.500)

Values from the calculation:
E_tot in eV/atom: -16.40
ΔH_f (0 K) in meV per atom: 1067

8.
The following is a DFT calculation (SCAN) of RbBiHO2 at its PBEsol-relaxed geometry.

a b c (Å): 3.492 4.580 4.580
angles (deg): 90.00 90.00 90.00
Positions (direct):
Bi (0.500, 0.000, 0.000)
O (0.000, 0.500, 0.000)
O (0.000, 0.000, 0.500)
Rb (0.500, 0.500, 0.500)
H (0.000, 0.000, 0.000)

Values from the calculation:
E_tot in eV/atom: -22.93